Entry 1:
Sn2PtPb2 | GGA-PBE | optimized geometry

a = 6.9995 Å, b = 6.9995 Å, c = 5.5159 Å
α = 90.00°, β = 90.00°, γ = 90.00°
Last column: nearest neighbours and their distance in Å.
Element x y z (fractional)
Pb  0.1716  0.6716  0.5000  6 Sn 3.29-3.55, 5 Pb 3.40-3.67
Pb  0.6716  0.8284  0.5000  6 Sn 3.29-3.55, 5 Pb 3.40-3.67
Pb  0.8284  0.3284  0.5000  6 Sn 3.29-3.55, 5 Pb 3.40-3.67
Pb  0.3284  0.1716  0.5000  6 Sn 3.29-3.55, 5 Pb 3.40-3.67
Sn  0.3528  0.8528  0.0000  2 Pt 2.68, 1 Sn 2.91
Sn  0.8528  0.6472  0.0000  2 Pt 2.68, 1 Sn 2.91
Sn  0.6472  0.1472  0.0000  2 Pt 2.68, 1 Sn 2.91
Sn  0.1472  0.3528  0.0000  2 Pt 2.68, 1 Sn 2.91
Pt  0.0000  0.0000  0.0000  4 Sn 2.68
Pt  0.5000  0.5000  0.0000  4 Sn 2.68

SG: P4/mbm (127)
V: 27.02 Å³ per atom
formation enthalpy at 0 K: -0.107 eV per atom


Entry 2:
Y2FeAgC | GGA-PBE | optimized geometry

a = 5.0228 Å, b = 5.0228 Å, c = 3.6747 Å
α = 90.00°, β = 90.00°, γ = 90.00°
Last column: nearest neighbours and their distance in Å.
Element x y z (fractional)
Y  0.0000  0.5000  0.0000  2 C 2.51
Y  0.5000  0.0000  0.0000  2 C 2.51
C  0.0000  0.0000  0.0000  2 Fe 1.84
Fe  0.0000  0.0000  0.5000  2 C 1.84
Ag  0.5000  0.5000  0.5000  8 Y 3.11

SG: P4/mmm (123)
V: 18.54 Å³ per atom
formation enthalpy at 0 K: -0.321 eV per atom


Q: Among the records above, which one has the lowest V?
A: Y2FeAgC


Q: The highest formation enthalpy at 0 K belongs to which entry?
A: Sn2PtPb2


Q: Which value of V does entry 1 give?
A: 27.02 Å³ per atom


Q: The lowest formation enthalpy at 0 K belongs to which entry?
A: Y2FeAgC